(1)
! RbIn9Ag3 | Alexandria via LeMat-Bulk | PBE | relaxed; values from VASP
&SYSTEM
  ibrav = 0, nat = 13, ntyp = 3
/
ATOMIC_SPECIES
In 114.82 In.upf
Ag 107.87 Ag.upf
Rb 85.47 Rb.upf
ATOMIC_POSITIONS crystal
In 0.000 0.500 0.000
In 0.481 0.779 0.229
In 0.710 0.779 0.771
In 0.661 0.343 0.362
In 0.290 0.221 0.229
In 0.519 0.221 0.771
In 0.023 0.343 0.638
In 0.339 0.657 0.638
In 0.977 0.657 0.362
Ag 0.000 0.000 0.500
Ag 0.500 0.500 0.000
Ag 0.500 0.000 0.500
Rb 0.000 0.000 0.000
CELL_PARAMETERS angstrom
5.465 -0.084 2.218
2.537 7.105 1.030
-0.276 -0.042 8.521
! Space group: C2/m
! Total DFT energy (no corrections) in eV/atom: -2.656
! Crystal system: monoclinic
! D(E_F) in states/eV per cell: 5.22

(2)
! La4Pm3NdTe8 | Alexandria via LeMat-Bulk | PBE | relaxed; values from VASP
&SYSTEM
  ibrav = 0, nat = 16, ntyp = 4
/
ATOMIC_SPECIES
La 138.91 La.upf
Pm 145.00 Pm.upf
Te 127.60 Te.upf
Nd 144.24 Nd.upf
ATOMIC_POSITIONS crystal
La 0.500 0.000 0.000
La 0.000 0.000 0.000
La 0.000 0.000 0.500
La 0.500 0.000 0.500
Pm 0.000 0.500 0.500
Pm 0.500 0.500 0.000
Pm 0.500 0.500 0.500
Te 0.252 0.257 0.505
Te 0.748 0.743 0.495
Te 0.752 0.256 0.005
Te 0.253 0.256 0.005
Te 0.747 0.744 0.995
Te 0.248 0.744 0.497
Te 0.752 0.256 0.503
Te 0.248 0.744 0.995
Nd 0.000 0.500 0.000
CELL_PARAMETERS angstrom
-4.422 -5.278 -5.921
6.238 1.817 -6.278
2.489 -3.328 8.072
! Space group: R-3m
! Total DFT energy (no corrections) in eV/atom: -5.496
! Crystal system: trigonal
! D(E_F) in states/eV per cell: 12.63
! Raw formation energy in meV/atom: -1504

(3)
! PmNp2Pd9 | Alexandria via LeMat-Bulk | PBE | relaxed; values from VASP
&SYSTEM
  ibrav = 0, nat = 12, ntyp = 3
/
ATOMIC_SPECIES
Pd 106.42 Pd.upf
Pm 145.00 Pm.upf
Np 237.00 Np.upf
ATOMIC_POSITIONS crystal
Pd 0.500 0.500 0.000
Pd 0.500 0.000 0.171
Pd 0.500 0.000 0.500
Pd 0.000 0.500 0.829
Pd 0.500 0.500 0.665
Pd 0.500 0.500 0.335
Pd 0.500 0.000 0.829
Pd 0.000 0.500 0.500
Pd 0.000 0.500 0.171
Pm 0.000 0.000 0.000
Np 0.000 0.000 0.666
Np 0.000 0.000 0.334
CELL_PARAMETERS angstrom
4.152 0.000 0.000
0.000 4.152 0.000
0.000 0.000 12.464
! Space group: P4/mmm
! Total DFT energy (no corrections) in eV/atom: -7.020
! Crystal system: tetragonal
! D(E_F) in states/eV per cell: 25.03